Density functional theory data (PBE) for LiCu2Re after structural relaxation.

The calculation puts the density at 10.0 g/cm3. The formation enthalpy at 0 K is 205 meV/atom. The calculation puts the calculated total energy at -5.434 eV per atom.

```
LiCu2Re
1.0
4.937 0.004 0.022
4.290 2.442 0.022
1.225 0.325 4.421
Cu Li Re
2 1 1
Cartesian
0.224 0.059 0.277
7.575 2.009 3.099
5.182 1.374 2.536
2.698 0.716 0.785
```

***

Density functional theory data (PBE) for LiCuRe after structural relaxation.

The calculation puts the density at 9.5 g/cm3. The formation enthalpy at 0 K is 1092 meV/atom. The calculation puts the calculated total energy at -5.060 eV per atom.

```
LiCuRe
1.0
3.990 0.000 0.000
1.995 3.456 0.000
1.995 1.152 3.258
Cu Li Re
1 1 1
Cartesian
5.986 3.456 2.444
0.000 0.000 0.000
3.990 2.304 1.629
```

***

Density functional theory data (PBE) for Li2CuRe after structural relaxation.

The calculation puts the density at 7.9 g/cm3. The formation enthalpy at 0 K is 369 meV/atom. The calculation puts the calculated total energy at -4.724 eV per atom.

```
Li2CuRe
1.0
-1.478 -0.885 -1.734
-0.071 -3.848 2.025
-4.126 1.518 2.742
Cu Li Re
1 2 1
Cartesian
-3.869 -1.228 2.201
-0.022 0.008 0.015
-2.041 0.751 1.356
-1.806 -1.987 0.831
```

***

Density functional theory data (PBE) for LiCu2Re after structural relaxation.

The calculation puts the density at 10.0 g/cm3. The formation enthalpy at 0 K is 254 meV/atom. The calculation puts the calculated total energy at -5.385 eV per atom.

```
LiCu2Re
1.0
2.497 0.000 0.000
0.000 3.947 0.000
0.000 0.000 5.376
Cu Li Re
2 1 1
Cartesian
0.000 0.000 5.333
0.000 0.000 2.730
1.248 1.974 1.344
1.248 1.974 4.032
```

***

Density functional theory data (PBE) for Li2CuRe after structural relaxation.

The calculation puts the density at 8.0 g/cm3. The formation enthalpy at 0 K is 574 meV/atom. The calculation puts the calculated total energy at -4.519 eV per atom.

```
Li2CuRe
1.0
4.282 0.000 0.000
0.000 3.570 0.000
0.000 0.000 3.570
Cu Li Re
1 2 1
Cartesian
2.141 0.000 1.785
0.000 0.000 0.000
0.000 1.785 1.785
2.141 1.785 0.000
```

***

Density functional theory data (PBE) for LiCu2Re after structural relaxation.

The calculation puts the density at 10.5 g/cm3. The formation enthalpy at 0 K is 423 meV/atom. The calculation puts the calculated total energy at -5.216 eV per atom.

```
LiCu2Re
1.0
-4.302 2.632 0.905
-4.069 -0.659 -3.044
3.404 -1.792 3.384
Cu Li Re
2 1 1
Cartesian
-8.286 1.954 -2.117
-4.271 1.007 -1.091
-2.542 0.913 1.610
-2.425 -0.732 -0.364
```

***

Density functional theory data (PBE) for LiCu2Re after structural relaxation.

The calculation puts the density at 10.1 g/cm3. The formation enthalpy at 0 K is 167 meV/atom. The calculation puts the calculated total energy at -5.472 eV per atom.

```
LiCu2Re
1.0
-1.307 -0.249 6.105
2.816 -2.986 -2.201
1.907 0.715 1.469
Cu Li Re
2 1 1
Cartesian
0.000 0.000 0.000
0.300 0.233 3.787
2.362 -1.136 -0.366
0.754 -1.618 1.952
```

***

Density functional theory data (PBE) for LiCu3Re after structural relaxation.

The calculation puts the density at 6.1 g/cm3. The formation enthalpy at 0 K is 1206 meV/atom. The calculation puts the calculated total energy at -4.124 eV per atom.

```
LiCu3Re
1.0
4.711 0.000 0.000
0.000 4.711 0.000
0.000 0.000 4.711
Re Cu Li
1 3 1
Cartesian
0.000 0.000 0.000
0.000 2.355 0.000
0.000 0.000 2.355
2.355 0.000 0.000
2.355 2.355 2.355
```

***

Density functional theory data (PBE) for Li2CuRe after structural relaxation.

The calculation puts the density at 8.3 g/cm3. The formation enthalpy at 0 K is 866 meV/atom. The calculation puts the calculated total energy at -4.227 eV per atom.

```
Li2CuRe
1.0
6.538 0.000 0.000
0.000 6.538 0.000
3.269 3.269 2.479
Re Cu Li
2 2 4
Cartesian
0.000 0.000 0.000
6.538 3.269 1.240
3.269 3.269 0.000
3.269 6.538 1.240
4.735 1.634 0.620
1.802 4.903 0.620
4.903 5.071 1.859
8.172 8.004 1.859
```

***

Density functional theory data (PBE) for Li2CuRe after structural relaxation.

The calculation puts the density at 8.0 g/cm3. The formation enthalpy at 0 K is 280 meV/atom. The calculation puts the calculated total energy at -4.813 eV per atom.

```
Li2CuRe
1.0
-1.190 2.089 -0.714
-3.660 -2.537 -1.323
-1.838 0.417 4.287
Cu Li Re
1 2 1
Cartesian
-2.749 -1.060 1.482
0.000 0.000 0.000
-2.425 -0.224 -1.018
-1.514 1.253 1.787
```

***

Density functional theory data (PBE) for Li2CuRe after structural relaxation.

The calculation puts the density at 8.6 g/cm3. The formation enthalpy at 0 K is 795 meV/atom. The calculation puts the calculated total energy at -4.298 eV per atom.

```
Li2CuRe
1.0
2.246 -2.563 2.387
1.729 1.409 3.512
-1.477 -1.236 3.688
Re Cu Li
1 1 2
Cartesian
1.249 -1.195 4.793
0.000 0.000 0.000
0.625 -0.597 2.397
1.874 -1.792 7.190
```

***

Density functional theory data (PBE) for LiCuRe2 after structural relaxation.

The calculation puts the density at 12.8 g/cm3. The formation enthalpy at 0 K is 404 meV/atom. The calculation puts the calculated total energy at -7.323 eV per atom.

```
LiCuRe2
1.0
-7.209 3.126 -4.957
-8.194 0.702 -4.323
-8.478 2.760 -2.611
Cu Li Re
1 1 2
Cartesian
-5.970 1.647 -2.973
-17.911 4.941 -8.919
-23.791 6.563 -11.847
-12.030 3.319 -5.990
```

***

What did the eighth record say?
Density functional theory data (PBE) for LiCu3Re after structural relaxation.

The calculation puts the density at 6.1 g/cm3. The formation enthalpy at 0 K is 1206 meV/atom. The calculation puts the calculated total energy at -4.124 eV per atom.

```
LiCu3Re
1.0
4.711 0.000 0.000
0.000 4.711 0.000
0.000 0.000 4.711
Re Cu Li
1 3 1
Cartesian
0.000 0.000 0.000
0.000 2.355 0.000
0.000 0.000 2.355
2.355 0.000 0.000
2.355 2.355 2.355
```

***

Question: Which value of calculated total energy does entry 3 give?
Answer: -4.724 eV per atom